Entry 1:
Computed, not measured: crystalline RbCrHg2W at its relaxed geometry at the PBE level of DFT.

Symmetry: P4/mmm (123)
Total energy, eV for the cell shown: -19.4
E_form, meV/atom: 952

abc: 5.4551 4.3596 5.4551
angles: 90.00 90.00 90.00
Element x y z (fractional)
Cr (0.0000, 0.0000, 0.0000)
Rb (0.5000, 0.5000, 0.5000)
Hg (0.0000, 0.0000, 0.5000)
Hg (0.5000, 0.0000, 0.0000)
W (0.0000, 0.5000, 0.0000)

***

Entry 2:
Computed, not measured: crystalline Ac2EuPd at its relaxed geometry at the PBE level of DFT.

Symmetry: P4/mmm (123)
Total energy, eV for the cell shown: -25.0
Energy above the most stable polymorph in this dataset, kcal/mol of atoms: 0.00
E_form, meV/atom: -326

abc: 3.8865 3.8865 9.4946
angles: 90.00 90.00 90.00
Element x y z (fractional)
Ac (0.0000, 0.0000, 0.8105)
Ac (0.0000, 0.0000, 0.1895)
Eu (0.5000, 0.5000, 0.5000)
Pd (0.5000, 0.5000, 0.0000)

***

Entry 3:
Computed, not measured: crystalline PmSmTmHg at its relaxed geometry at the PBE level of DFT.

Symmetry: P4mm (99)
Total energy, eV for the cell shown: -15.2
Energy above the most stable polymorph in this dataset, kcal/mol of atoms: 0.00
E_form, meV/atom: -229

abc: 3.6516 3.6516 8.9036
angles: 90.00 90.00 90.00
Element x y z (fractional)
Hg (0.0000, 0.0000, 0.5580)
Pm (0.0000, 0.0000, 0.0785)
Sm (0.5000, 0.5000, 0.7925)
Tm (0.5000, 0.5000, 0.3558)